(1)
{
  "formula": "Nd2ZnAu",
  "functional": "PBE",
  "state": "relaxed",
  "lattice": [[3.739, 0.000, 0.000], [0.000, 3.739, 0.000], [0.000, 0.000, 7.238]],
  "species": ["Au", "Zn", "Nd", "Nd"],
  "fractional_positions": [[0.500, 0.500, 0.500], [0.500, 0.500, 0.000], [0.000, 0.000, 0.247], [0.000, 0.000, 0.753]],
  "e_form_kj_per_mol_atoms": -52,
  "rho_g_cm3": 9.04
}


(2)
{
  "formula": "NdZrZnAu",
  "functional": "PBE",
  "state": "relaxed",
  "lattice": [[5.039, 0.000, 0.000], [2.519, 4.364, 0.000], [2.519, 1.455, 4.114]],
  "species": ["Au", "Nd", "Zn", "Zr"],
  "fractional_positions": [[0.500, 0.500, 0.500], [0.750, 0.750, 0.750], [0.000, 0.000, 0.000], [0.250, 0.250, 0.250]],
  "e_form_kj_per_mol_atoms": -31,
  "rho_g_cm3": 9.14
}


(3)
{
  "formula": "NdZrAu4",
  "functional": "PBE",
  "state": "relaxed",
  "lattice": [[-2.574, -1.627, -2.117], [2.461, -0.299, -2.759], [2.567, -8.197, 3.178]],
  "species": ["Zr", "Au", "Au", "Au", "Nd", "Au"],
  "fractional_positions": [[0.000, 0.000, 0.000], [0.500, 0.500, 0.157], [0.000, 0.000, 0.318], [0.000, 0.000, 0.682], [0.500, 0.500, 0.500], [0.500, 0.500, 0.843]],
  "e_form_kj_per_mol_atoms": -62,
  "rho_g_cm3": 13.49
}


(4)
{
  "formula": "NdZrAu",
  "functional": "PBE",
  "state": "relaxed",
  "lattice": [[-1.040, 2.357, 3.763], [-3.386, -2.921, 0.894], [4.692, -4.230, 3.947]],
  "species": ["Au", "Nd", "Nd", "Au", "Zr", "Zr"],
  "fractional_positions": [[0.000, 0.500, 0.257], [0.000, 0.500, 0.863], [0.500, 0.000, 0.137], [0.500, 0.000, 0.743], [0.500, 0.500, 0.500], [0.000, 0.000, 0.500]],
  "e_form_kj_per_mol_atoms": -42,
  "rho_g_cm3": 9.27
}


Calculated volume, record by record: 101 90 126 155 Å³ per cell
Spin magnetization, record by record: 0.000 0.291 0.000 0.000 μB/atom